1.
# PBE-GGA AlCdCuOs, relaxed
# Total magnetic moment = 0.00 μB per cell
# Energy = -0.346 Ry per atom
data_AlCdCuOs
_space_group_name_H-M_alt 'F -4 3 m'
_space_group_IT_number 216
_space_group_name_Hall 'F -4 2 3'
_cell_length_a 6.232
_cell_length_b 6.232
_cell_length_c 6.232
_cell_angle_alpha 90.00
_cell_angle_beta 90.00
_cell_angle_gamma 90.00
loop_
_atom_site_label
_atom_site_fract_x
_atom_site_fract_y
_atom_site_fract_z
_atom_site_occupancy
Al1 0.000 0.000 0.000 1
Cd1 0.000 0.000 0.500 1
Cu1 0.250 0.250 0.250 1
Os1 0.250 0.250 0.750 1

=====

2.
# PBE-GGA AcZrCd, relaxed
# Total magnetic moment = 4.71 μB per cell
# Energy = -0.261 Ry per atom
data_AcZrCd
_space_group_name_H-M_alt 'F -4 3 m'
_space_group_IT_number 216
_space_group_name_Hall 'F -4 2 3'
_cell_length_a 7.442
_cell_length_b 7.442
_cell_length_c 7.442
_cell_angle_alpha 90.00
_cell_angle_beta 90.00
_cell_angle_gamma 90.00
loop_
_atom_site_label
_atom_site_fract_x
_atom_site_fract_y
_atom_site_fract_z
_atom_site_occupancy
Ac1 0.000 0.000 0.000 1
Zr1 0.250 0.250 0.250 1
Cd1 0.250 0.250 0.750 1

=====

3.
# PBE-GGA Ho4InTeC2, relaxed
# Total magnetic moment = 0.00 μB per cell
# Energy = -0.437 Ry per atom
data_Ho4InTeC2
_space_group_name_H-M_alt 'P -6 m 2'
_space_group_IT_number 187
_space_group_name_Hall 'P -6 2'
_cell_length_a 3.6831
_cell_length_b 3.6831
_cell_length_c 15.2147
_cell_angle_alpha 90.00
_cell_angle_beta 90.00
_cell_angle_gamma 120.00
loop_
_atom_site_label
_atom_site_fract_x
_atom_site_fract_y
_atom_site_fract_z
_atom_site_occupancy
Ho1 0.0000 0.0000 0.1512 1
Ho2 0.3333 0.6667 0.3250 1
In1 0.0000 0.0000 0.5000 1
Te1 0.3333 0.6667 0.0000 1
C1 0.6667 0.3333 0.2359 1

=====

4.
# PBE-GGA RbGdCdSe3, relaxed
# Total magnetic moment = 0.01 μB per cell
# Energy = -0.302 Ry per atom
data_RbGdCdSe3
_space_group_name_H-M_alt 'P n m a'
_space_group_IT_number 62
_cell_length_a 12.137
_cell_length_b 4.385
_cell_length_c 13.214
_cell_angle_alpha 90.00
_cell_angle_beta 90.00
_cell_angle_gamma 90.00
loop_
_space_group_symop_operation_xyz
'x,y,z'
'-x,-y,-z'
'-x+1/2,-y,z+1/2'
'x+1/2,y,-z+1/2'
'x+1/2,-y+1/2,-z+1/2'
'-x+1/2,y+1/2,z+1/2'
'-x,y+1/2,-z'
'x,-y+1/2,z'
loop_
_atom_site_label
_atom_site_fract_x
_atom_site_fract_y
_atom_site_fract_z
_atom_site_occupancy
Rb1 0.163 0.250 0.009 1
Gd1 0.033 0.250 0.333 1
Cd1 0.241 0.250 0.714 1
Se1 0.041 0.750 0.183 1
Se2 0.092 0.250 0.566 1
Se3 0.230 0.750 0.828 1